Ba2CrMo | GGA-PBE | relaxed

Cell lengths 3.399, 3.399, 10.482 Å; angles 90.00, 90.00, 89.94 degrees
Fractional positions:
Mo 0.500 0.500 0.750
Ba 0.000 0.000 0.985
Ba 0.000 0.000 0.515
Cr 0.500 0.500 0.250

Results
* calculated volume: 121 Å³/cell
* total moment: 5.12 μB/f.u.
* DOS at the Fermi energy: 3.5 states/eV per cell
* theoretical density: 5796 kg/m³
* energy of formation from the pure elements: 1.303 eV per atom
* ΔE to the lowest computed polymorph: 577 meV per atom

---

CeHo5Mg4 | GGA-PBE | relaxed

Cell lengths 3.676, 3.676, 20.429 Å; angles 90.00, 90.00, 90.00 degrees
Fractional positions:
Ho 0.500 0.500 0.887
Ho 0.500 0.500 0.113
Ho 0.500 0.500 0.500
Ho 0.500 0.500 0.311
Ho 0.500 0.500 0.689
Mg 0.000 0.000 0.787
Mg 0.000 0.000 0.213
Mg 0.000 0.000 0.405
Mg 0.000 0.000 0.595
Ce 0.000 0.000 0.000

Results
* calculated volume: 276 Å³/cell
* total moment: 0.82 μB/f.u.
* DOS at the Fermi energy: 16.0 states/eV per cell
* theoretical density: 6387 kg/m³
* energy of formation from the pure elements: -0.028 eV per atom

---

Which value of theoretical density does entry 2 give?
6387 kg/m³

---

Which formula does entry 2 have?
CeHo5Mg4